# 1
Here is a geometry-optimized AcMg6In6 structure from Alexandria. Energies are from GGA-PBE.

a b c (Å): 7.8731 7.8731 7.8731
angles (deg): 133.46 101.20 96.77
Last column: nearest neighbours and their distance in Å.
Fractional coordinates of all 13 atoms:
Ac 0.0000 0.0000 0.0000  8 In 3.50-3.65, 4 Mg 3.91
Mg 0.0000 0.0000 0.5000  6 In 3.03-3.20, 4 Mg 3.04-3.11
Mg 0.0000 0.5000 0.0000  6 In 3.03-3.20, 4 Mg 3.04-3.11
Mg 0.2371 0.5000 0.7371  6 In 3.04-3.31, 4 Mg 3.04
Mg 0.5000 0.0000 0.0000  6 In 3.03-3.20, 4 Mg 3.04-3.11
Mg 0.5000 0.5000 0.5000  6 In 3.03-3.20, 4 Mg 3.04-3.11
Mg 0.7629 0.5000 0.2629  6 In 3.04-3.31, 4 Mg 3.04
In 0.1819 0.6819 0.5000  6 Mg 3.03-3.04
In 0.3462 0.3462 0.0000  6 Mg 3.08-3.11, 1 In 3.22
In 0.3497 0.0000 0.3497  1 In 3.00, 6 Mg 3.20-3.31
In 0.6503 0.0000 0.6503  1 In 3.00, 6 Mg 3.20-3.31
In 0.6538 0.6538 0.0000  6 Mg 3.08-3.11, 1 In 3.22
In 0.8181 0.3181 0.5000  6 Mg 3.03-3.04

## Properties
**Calculated volume**: 325.1 Å³/cell
**Space group**: No. 71
**M_tot**: 0.0000 μB/atom
**Electronic total energy**: -2.50 eV/atom

***

# 2
Here is a geometry-optimized Ac3Mg4In2 structure from Alexandria. Energies are from GGA-PBE.

a b c (Å): 6.5299 6.5299 9.9696
angles (deg): 114.81 114.81 47.74
Last column: nearest neighbours and their distance in Å.
Fractional coordinates of all 9 atoms:
Ac 0.0000 0.0000 0.0000  8 Mg 3.53-3.72, 4 In 3.62, 2 Ac 3.85
Ac 0.3370 0.3370 0.3289  8 Mg 3.52-3.70, 4 In 3.56-3.67, 2 Ac 3.82-3.85
Ac 0.6630 0.6630 0.6711  8 Mg 3.52-3.70, 4 In 3.56-3.67, 2 Ac 3.82-3.85
Mg 0.0753 0.0753 0.4054  2 In 3.05, 1 Mg 3.15
Mg 0.2895 0.2895 0.9539  1 In 3.03, 2 Mg 3.09
Mg 0.7105 0.7105 0.0461  1 In 3.03, 2 Mg 3.09
Mg 0.9247 0.9247 0.5946  2 In 3.05, 1 Mg 3.15
In 0.3862 0.3862 0.7205  3 Mg 3.03-3.05
In 0.6138 0.6138 0.2795  3 Mg 3.03-3.05

## Properties
**Calculated volume**: 279.5 Å³/cell
**Space group**: No. 12
**M_tot**: 0.0000 μB/atom
**Electronic total energy**: -2.94 eV/atom

***

# 3
Here is a geometry-optimized Ac2MgIn8 structure from Alexandria. Energies are from GGA-PBE.

a b c (Å): 5.0372 5.0372 12.6034
angles (deg): 90.00 90.00 90.00
Last column: nearest neighbours and their distance in Å.
Fractional coordinates of all 11 atoms:
Ac 0.0000 0.0000 0.1923  12 In 3.41-3.56
Ac 0.0000 0.0000 0.8077  12 In 3.41-3.56
Mg 0.0000 0.0000 0.5000  8 In 2.97
In 0.0000 0.5000 0.0000  4 Ac 3.50, 8 In 3.52-3.56
In 0.0000 0.5000 0.3752  2 Mg 2.97, 1 In 3.15
In 0.0000 0.5000 0.6248  2 Mg 2.97, 1 In 3.15
In 0.5000 0.0000 0.0000  4 Ac 3.50, 8 In 3.52-3.56
In 0.5000 0.0000 0.3752  2 Mg 2.97, 1 In 3.15
In 0.5000 0.0000 0.6248  2 Mg 2.97, 1 In 3.15
In 0.5000 0.5000 0.1952  8 In 3.39-3.52, 4 Ac 3.56
In 0.5000 0.5000 0.8048  8 In 3.39-3.52, 4 Ac 3.56

## Properties
**Calculated volume**: 319.8 Å³/cell
**Space group**: No. 123
**M_tot**: 0.0000 μB/atom
**Electronic total energy**: -3.18 eV/atom

***

# 4
Here is a geometry-optimized Ac8Mg2In structure from Alexandria. Energies are from GGA-PBE.

a b c (Å): 10.3706 10.3706 8.0969
angles (deg): 108.34 108.34 32.38
Last column: nearest neighbours and their distance in Å.
Fractional coordinates of all 11 atoms:
Ac 0.0227 0.0227 0.2691  1 Mg 3.45, 2 In 3.55, 2 Ac 3.77
Ac 0.1948 0.1948 0.7888  3 Mg 3.39-3.74
Ac 0.3343 0.3343 0.5462  3 Mg 3.37-3.65, 1 In 3.44
Ac 0.4068 0.4068 0.0450  1 In 3.54, 2 Mg 3.63, 3 Ac 3.77-3.82
Ac 0.5932 0.5932 0.9550  1 In 3.54, 2 Mg 3.63, 3 Ac 3.77-3.82
Ac 0.6657 0.6657 0.4538  3 Mg 3.37-3.65, 1 In 3.44
Ac 0.8052 0.8052 0.2112  3 Mg 3.39-3.74
Ac 0.9773 0.9773 0.7309  1 Mg 3.45, 2 In 3.55, 2 Ac 3.77
Mg 0.1843 0.1843 0.1980  9 Ac 3.37-3.74
Mg 0.8157 0.8157 0.8020  9 Ac 3.37-3.74
In 0.5000 0.5000 0.5000  8 Ac 3.44-3.55

## Properties
**Calculated volume**: 440.6 Å³/cell
**Space group**: No. 12
**M_tot**: 0.0000 μB/atom
**Electronic total energy**: -3.56 eV/atom

***

# 5
Here is a geometry-optimized Ac2Mg5In5 structure from Alexandria. Energies are from GGA-PBE.

a b c (Å): 4.7936 6.1984 11.0383
angles (deg): 90.00 90.00 90.00
Last column: nearest neighbours and their distance in Å.
Fractional coordinates of all 12 atoms:
Ac 0.0000 0.0000 0.0000  10 In 3.64-3.92, 8 Mg 3.97
Ac 0.0000 0.5000 0.5000  6 In 3.55-3.62, 12 Mg 3.92-3.97
Mg 0.5000 0.0000 0.5000  4 In 3.04, 4 Mg 3.15
Mg 0.5000 0.2477 0.2506  5 In 2.97-3.18, 3 Mg 3.07-3.15
Mg 0.5000 0.2477 0.7494  5 In 2.97-3.18, 3 Mg 3.07-3.15
Mg 0.5000 0.7523 0.2506  5 In 2.97-3.18, 3 Mg 3.07-3.15
Mg 0.5000 0.7523 0.7494  5 In 2.97-3.18, 3 Mg 3.07-3.15
In 0.0000 0.0000 0.3299  6 Mg 2.98-3.04
In 0.0000 0.0000 0.6701  6 Mg 2.98-3.04
In 0.0000 0.5000 0.1783  4 Mg 2.97, 2 In 3.10
In 0.0000 0.5000 0.8217  4 Mg 2.97, 2 In 3.10
In 0.5000 0.5000 0.0000  4 In 3.10, 4 Mg 3.18

## Properties
**Calculated volume**: 328.0 Å³/cell
**Space group**: No. 47
**M_tot**: 0.0000 μB/atom
**Electronic total energy**: -2.71 eV/atom

***

# 6
Here is a geometry-optimized Ac2Mg16In structure from Alexandria. Energies are from GGA-PBE.

a b c (Å): 7.9085 7.9085 7.9085
angles (deg): 82.71 82.71 82.71
Last column: nearest neighbours and their distance in Å.
Fractional coordinates of all 19 atoms:
Ac 0.0000 0.0000 0.0000  19 Mg 3.65-4.07
Ac 0.3361 0.3361 0.3361  1 In 3.55, 15 Mg 3.68-3.96
Mg 0.0169 0.0169 0.5092  9 Mg 2.98-3.33
Mg 0.0169 0.5092 0.0169  9 Mg 2.98-3.33
Mg 0.1665 0.6693 0.6693  9 Mg 3.01-3.20, 1 In 3.20
Mg 0.3183 0.3183 0.8299  8 Mg 2.98-3.19, 1 In 3.31
Mg 0.3183 0.8299 0.3183  8 Mg 2.98-3.19, 1 In 3.31
Mg 0.3699 0.6684 0.9669  8 Mg 3.01-3.19
Mg 0.3699 0.9669 0.6684  8 Mg 3.01-3.19
Mg 0.5092 0.0169 0.0169  9 Mg 2.98-3.33
Mg 0.6684 0.3699 0.9669  8 Mg 3.01-3.19
Mg 0.6684 0.9669 0.3699  8 Mg 3.01-3.19
Mg 0.6693 0.1665 0.6693  9 Mg 3.01-3.20, 1 In 3.20
Mg 0.6693 0.6693 0.1665  9 Mg 3.01-3.20, 1 In 3.20
Mg 0.7619 0.7619 0.7619  1 In 2.98, 6 Mg 3.20-3.33
Mg 0.8299 0.3183 0.3183  8 Mg 2.98-3.19, 1 In 3.31
Mg 0.9669 0.3699 0.6684  8 Mg 3.01-3.19
Mg 0.9669 0.6684 0.3699  8 Mg 3.01-3.19
In 0.5675 0.5675 0.5675  7 Mg 2.98-3.31

## Properties
**Calculated volume**: 483.6 Å³/cell
**Space group**: No. 160
**M_tot**: 0.0000 μB/atom
**Electronic total energy**: -2.03 eV/atom

***

Q: Among the records above, which one has the lowest electronic total energy?
A: Ac8Mg2In

***

Q: Among the records above, which one has the highest electronic total energy?
A: Ac2Mg16In